#1
Entry from the Alexandria database: a geometry-optimized BaBeCu structure (PBE).

Lattice parameters (Å, degrees): 6.3377 6.3377 6.3377 150.36 150.36 42.42
Last column: nearest neighbours and their distance in Å.
Positions (direct):
1 Ba 0.0000 0.0000 0.0000  4 Ba 3.24, 5 Be 3.27-3.50, 5 Cu 3.29-3.48
2 Be 0.2767 0.2767 0.0000  4 Cu 2.38
3 Cu 0.7219 0.7219 0.0000  4 Be 2.38

Summary:
symmetry	I4mm (107)
magnetization	0.00	μB per formula unit
volume	62.1	Å³/cell

#2
Entry from the Alexandria database: a geometry-optimized BaBeCu structure (PBE).

Lattice parameters (Å, degrees): 5.2079 5.2079 5.2079 60.00 60.00 60.00
Last column: nearest neighbours and their distance in Å.
Positions (direct):
1 Ba 0.0000 0.0000 0.0000  4 Be 3.19, 4 Cu 3.19
2 Be 0.7500 0.7500 0.7500  4 Ba 3.19
3 Cu 0.2500 0.2500 0.2500  4 Ba 3.19

Summary:
symmetry	F-43m (216)
magnetization	0.00	μB per formula unit
volume	99.9	Å³/cell

It is #1 that is most stable; the runner-up trails by 664 meV/atom.

#1
Entry from the Alexandria database: a geometry-optimized BaBe3Cu structure (PBE).

Lattice parameters (Å, degrees): 4.4295 4.4295 4.4295 90.00 90.00 90.00
Last column: nearest neighbours and their distance in Å.
Positions (direct):
1 Ba 0.0000 0.0000 0.0000  12 Be 3.13
2 Be 0.0000 0.5000 0.5000  2 Cu 2.21
3 Be 0.5000 0.0000 0.5000  2 Cu 2.21
4 Be 0.5000 0.5000 0.0000  2 Cu 2.21
5 Cu 0.5000 0.5000 0.5000  6 Be 2.21

Summary:
symmetry	Pm-3m (221)
magnetization	0.00	μB per formula unit
volume	86.9	Å³/cell

#2
Entry from the Alexandria database: a geometry-optimized BaBe3Cu structure (PBE).

Lattice parameters (Å, degrees): 5.5747 5.5747 5.5747 90.00 90.00 90.00
Last column: nearest neighbours and their distance in Å.
Positions (direct):
1 Ba 0.0000 0.0000 0.0000  6 Be 2.79
2 Be 0.0000 0.0000 0.5000  2 Ba 2.79
3 Be 0.0000 0.5000 0.0000  2 Ba 2.79
4 Be 0.5000 0.0000 0.0000  2 Ba 2.79
5 Cu 0.5000 0.5000 0.5000  12 Be 3.94

Summary:
symmetry	Pm-3m (221)
magnetization	0.00	μB per formula unit
volume	173.2	Å³/cell

It is #1 that is most stable; the runner-up trails by 1958 meV/atom.

#1
Entry from the Alexandria database: a geometry-optimized BaBeF4 structure (PBE).

Lattice parameters (Å, degrees): 8.9742 5.3930 7.1370 90.00 90.00 90.00
Last column: nearest neighbours and their distance in Å.
Positions (direct):
1 Ba 0.1872 0.2500 0.1542  8 F 2.69-2.88
2 Ba 0.3128 0.7500 0.6542  8 F 2.69-2.88
3 Ba 0.6872 0.2500 0.3458  8 F 2.69-2.88
4 Ba 0.8128 0.7500 0.8458  8 F 2.69-2.88
5 Be 0.0537 0.2500 0.6907  4 F 1.55-1.58
6 Be 0.4463 0.7500 0.1907  4 F 1.55-1.58
7 Be 0.5537 0.2500 0.8093  4 F 1.55-1.58
8 Be 0.9463 0.7500 0.3093  4 F 1.55-1.58
9 F 0.0788 0.0148 0.8179  1 Be 1.58
10 F 0.0788 0.4852 0.8179  1 Be 1.58
11 F 0.1100 0.7500 0.3768  1 Be 1.55
12 F 0.1744 0.2500 0.5347  1 Be 1.55
13 F 0.3256 0.7500 0.0347  1 Be 1.55
14 F 0.3900 0.2500 0.8768  1 Be 1.55
15 F 0.4212 0.5148 0.3179  1 Be 1.58
16 F 0.4212 0.9852 0.3179  1 Be 1.58
17 F 0.5788 0.0148 0.6821  1 Be 1.58
18 F 0.5788 0.4852 0.6821  1 Be 1.58
19 F 0.6100 0.7500 0.1232  1 Be 1.55
20 F 0.6744 0.2500 0.9653  1 Be 1.55
21 F 0.8256 0.7500 0.4653  1 Be 1.55
22 F 0.8900 0.2500 0.6232  1 Be 1.55
23 F 0.9212 0.5148 0.1821  1 Be 1.58
24 F 0.9212 0.9852 0.1821  1 Be 1.58

Summary:
symmetry	Pnma (62)
magnetization	0.00	μB per formula unit
volume	345.4	Å³/cell

#2
Entry from the Alexandria database: a geometry-optimized BaBeF4 structure (PBE).

Lattice parameters (Å, degrees): 7.0907 7.0907 5.3324 90.00 90.00 144.68
Last column: nearest neighbours and their distance in Å.
Positions (direct):
1 Ba 0.1299 0.8701 0.7500  9 F 2.69-2.86
2 Ba 0.8701 0.1299 0.2500  9 F 2.69-2.86
3 Be 0.4047 0.5953 0.7500  2 F 1.61
4 Be 0.5953 0.4047 0.2500  2 F 1.61
5 F 0.0792 0.9208 0.2500  2 Be 2.16
6 F 0.3232 0.6768 0.5300  1 Be 1.61
7 F 0.3232 0.6768 0.9700  1 Be 1.61
8 F 0.5000 0.5000 0.0000  2 Be 1.85
9 F 0.5000 0.5000 0.5000  2 Be 1.85
10 F 0.6768 0.3232 0.0300  1 Be 1.61
11 F 0.6768 0.3232 0.4700  1 Be 1.61
12 F 0.9208 0.0792 0.7500  2 Be 2.16

Summary:
symmetry	Cmcm (63)
magnetization	0.00	μB per formula unit
volume	155.0	Å³/cell

It is #1 that is most stable; the runner-up trails by 231 meV/atom.